Material: OsSeN3
Method: DFT, meta-GGA SCAN
State: PBEsol geometry

The structure in extended XYZ format:
```
5
Lattice="3.8768 0.0000 0.0000 0.0000 3.8768 0.0000 0.0000 0.0000 3.8768" Properties=species:S:1:pos:R:3 pbc="T T T"
N 0.0000 0.0000 1.9384
N 1.9384 0.0000 0.0000
Se 1.9384 1.9384 1.9384
Os 0.0000 0.0000 0.0000
N 0.0000 1.9384 0.0000
```

Raw formation energy ... 1483.4 meV per atom
Density of states at the Fermi level ... 3.9 states/eV/f.u.